# Nb3TeH

Crystalline Nb3TeH at its relaxed geometry (PBE, Alexandria).

Summary:
- space group = Pm-3m, No. 221
- ρ (kg/m³) = 8738
- calculated volume (Å³ per cell) = 77.4
- magnetic moment (μB/atom) = 0.00
- energy above the lowest structure with this stoichiometry (meV per atom) = 0

Cell: 4.2618 4.2618 4.2618 Å, 90.00 90.00 90.00°
With the nearest neighbours (Å) after each atom.
Positions (direct):
H 0.0000 0.0000 0.0000  6 Nb 2.13
Nb 0.0000 0.5000 0.0000  2 H 2.13
Nb 0.0000 0.0000 0.5000  2 H 2.13
Nb 0.5000 0.0000 0.0000  2 H 2.13
Te 0.5000 0.5000 0.5000  12 Nb 3.01